# Sc4GaAu2 | the Alexandria database | GGA-PBE | relaxed
# Calculated formation energy ... -0.579 eV per atom
# Magnetic moment ... 0.00 μB per formula unit
data_Sc4GaAu2
_symmetry_space_group_name_H-M 'R -3 m'
_symmetry_Int_Tables_number 166
_symmetry_space_group_name_Hall '-R 3 2"'
_cell_length_a 4.7353
_cell_length_b 4.7353
_cell_length_c 23.1170
_cell_angle_alpha 90.00
_cell_angle_beta 90.00
_cell_angle_gamma 120.00
loop_
_atom_site_label
_atom_site_fract_x
_atom_site_fract_y
_atom_site_fract_z
_atom_site_occupancy
Sc1 0.0000 0.0000 0.1208 1
Sc2 0.0000 0.0000 0.3728 1
Ga1 0.0000 0.0000 0.5000 1
Au1 0.0000 0.0000 0.2493 1